[1]
Material: PmY12Ho2
Method: DFT, PBE-GGA
State: optimized geometry

DOS(E_F)   44.88 states/eV per cell
Energy of formation from the pure elements   0.3355 eV per atom
Total magnetization   0.0 μB/f.u.

Structure (CIF):
```
data_PmY12Ho2
_cell_length_a 6.4221
_cell_length_b 6.4221
_cell_length_c 25.1790
_cell_angle_alpha 90.00
_cell_angle_beta 90.00
_cell_angle_gamma 90.00
_space_group_name_H-M_alt 'P 1'
_space_group_IT_number 1
loop_
_space_group_symop_operation_xyz
'x,y,z'
loop_
_atom_site_label
_atom_site_type_symbol
_atom_site_fract_x
_atom_site_fract_y
_atom_site_fract_z
Pm1 Pm 0.5000 0.0000 0.0000
Pm2 Pm 0.0000 0.5000 0.0000
Y1 Y 0.5000 0.5000 0.7837
Y2 Y 0.0000 0.0000 0.7837
Y3 Y 0.6827 0.8173 0.8833
Y4 Y 0.1827 0.6827 0.8833
Y5 Y 0.0000 0.0000 0.3393
Y6 Y 0.3173 0.8173 0.1167
Y7 Y 0.8313 0.3313 0.5612
Y8 Y 0.5000 0.5000 0.3393
Y9 Y 0.3173 0.1827 0.8833
Y10 Y 0.8173 0.6827 0.1167
Y11 Y 0.3313 0.1687 0.5612
Y12 Y 0.6687 0.1687 0.4388
Y13 Y 0.0000 0.0000 0.6607
Y14 Y 0.1687 0.3313 0.4388
Y15 Y 0.1827 0.3173 0.1167
Y16 Y 0.8313 0.6687 0.4388
Y17 Y 0.6687 0.8313 0.5612
Y18 Y 0.0000 0.0000 0.2163
Y19 Y 0.1687 0.6687 0.5612
Y20 Y 0.5000 0.5000 0.6607
Y21 Y 0.8173 0.3173 0.8833
Y22 Y 0.5000 0.5000 0.2163
Y23 Y 0.3313 0.8313 0.4388
Y24 Y 0.6827 0.1827 0.1167
Ho1 Ho 0.5000 0.0000 0.2753
Ho2 Ho 0.0000 0.5000 0.2753
Ho3 Ho 0.0000 0.5000 0.7247
Ho4 Ho 0.5000 0.0000 0.7247
```

[2]
Material: ZrAl2Au
Method: DFT, PBE-GGA
State: optimized geometry

DOS(E_F)   3.47 states/eV per cell
Energy of formation from the pure elements   -0.2386 eV per atom
Total magnetization   0.0 μB/f.u.

Structure (CIF):
```
data_ZrAl2Au
_cell_length_a 5.4022
_cell_length_b 5.4022
_cell_length_c 5.4022
_cell_angle_alpha 136.00
_cell_angle_beta 136.00
_cell_angle_gamma 63.97
_space_group_name_H-M_alt 'P 1'
_space_group_IT_number 1
loop_
_space_group_symop_operation_xyz
'x,y,z'
loop_
_atom_site_label
_atom_site_type_symbol
_atom_site_fract_x
_atom_site_fract_y
_atom_site_fract_z
Au1 Au 0.2500 0.7500 0.5000
Al1 Al 0.0000 0.0000 0.0000
Al2 Al 0.5000 0.5000 0.0000
Zr1 Zr 0.7500 0.2500 0.5000
```

[3]
Material: Fe2OsRh
Method: DFT, PBE-GGA
State: optimized geometry

Offset from the most stable computed form   0.92 eV per formula unit
DOS(E_F)   6.83 states/eV per cell
Energy of formation from the pure elements   0.3128 eV per atom
Total magnetization   5.6 μB/f.u.

Structure (CIF):
```
data_Fe2OsRh
_cell_length_a 4.2333
_cell_length_b 4.2333
_cell_length_c 4.2333
_cell_angle_alpha 60.00
_cell_angle_beta 60.00
_cell_angle_gamma 60.00
_space_group_name_H-M_alt 'P 1'
_space_group_IT_number 1
loop_
_space_group_symop_operation_xyz
'x,y,z'
loop_
_atom_site_label
_atom_site_type_symbol
_atom_site_fract_x
_atom_site_fract_y
_atom_site_fract_z
Fe1 Fe 0.0000 0.0000 0.0000
Fe2 Fe 0.2500 0.2500 0.2500
Os1 Os 0.5000 0.5000 0.5000
Rh1 Rh 0.7500 0.7500 0.7500
```

[4]
Material: NaLiY2Nb
Method: DFT, PBE-GGA
State: optimized geometry

DOS(E_F)   4.48 states/eV per cell
Energy of formation from the pure elements   1.0444 eV per atom
Total magnetization   3.6 μB/f.u.

Structure (CIF):
```
data_NaLiY2Nb
_cell_length_a 5.6709
_cell_length_b 4.0863
_cell_length_c 5.6709
_cell_angle_alpha 90.00
_cell_angle_beta 90.00
_cell_angle_gamma 90.00
_space_group_name_H-M_alt 'P 1'
_space_group_IT_number 1
loop_
_space_group_symop_operation_xyz
'x,y,z'
loop_
_atom_site_label
_atom_site_type_symbol
_atom_site_fract_x
_atom_site_fract_y
_atom_site_fract_z
Y1 Y 0.0000 0.0000 0.5000
Y2 Y 0.5000 0.0000 0.0000
Na1 Na 0.0000 0.0000 0.0000
Nb1 Nb 0.5000 0.5000 0.5000
Li1 Li 0.0000 0.5000 0.0000
```

[5]
Material: LiErTiRh
Method: DFT, PBE-GGA
State: optimized geometry

DOS(E_F)   3.25 states/eV per cell
Energy of formation from the pure elements   -0.3185 eV per atom
Total magnetization   0.6 μB/f.u.

Structure (CIF):
```
data_LiErTiRh
_cell_length_a 4.6526
_cell_length_b 4.6526
_cell_length_c 4.6526
_cell_angle_alpha 60.00
_cell_angle_beta 60.00
_cell_angle_gamma 60.00
_space_group_name_H-M_alt 'P 1'
_space_group_IT_number 1
loop_
_space_group_symop_operation_xyz
'x,y,z'
loop_
_atom_site_label
_atom_site_type_symbol
_atom_site_fract_x
_atom_site_fract_y
_atom_site_fract_z
Ti1 Ti 0.2500 0.2500 0.2500
Rh1 Rh 0.5000 0.5000 0.5000
Li1 Li 0.0000 0.0000 0.0000
Er1 Er 0.7500 0.7500 0.7500
```

[6]
Material: CeNd2CdHg4
Method: DFT, PBE-GGA
State: optimized geometry

DOS(E_F)   12.06 states/eV per cell
Energy of formation from the pure elements   -0.3788 eV per atom
Total magnetization   1.2 μB/f.u.

Structure (CIF):
```
data_CeNd2CdHg4
_cell_length_a 5.2472
_cell_length_b 5.2472
_cell_length_c 9.5717
_cell_angle_alpha 74.09
_cell_angle_beta 74.09
_cell_angle_gamma 60.00
_space_group_name_H-M_alt 'P 1'
_space_group_IT_number 1
loop_
_space_group_symop_operation_xyz
'x,y,z'
loop_
_atom_site_label
_atom_site_type_symbol
_atom_site_fract_x
_atom_site_fract_y
_atom_site_fract_z
Ce1 Ce 0.0000 0.0000 0.0000
Nd1 Nd 0.7597 0.7597 0.7209
Nd2 Nd 0.2403 0.2403 0.2791
Cd1 Cd 0.5000 0.5000 0.5000
Hg1 Hg 0.3708 0.3708 0.8877
Hg2 Hg 0.8771 0.8771 0.3687
Hg3 Hg 0.1229 0.1229 0.6313
Hg4 Hg 0.6292 0.6292 0.1123
```

[7]
Material: DySi4
Method: DFT, PBE-GGA
State: optimized geometry

DOS(E_F)   3.66 states/eV per cell
Total magnetization   0.0 μB/f.u.
Formation energy (no corrections)   1451 meV/atom

Structure (CIF):
```
data_DySi4
_cell_length_a 5.2400
_cell_length_b 5.2400
_cell_length_c 5.2400
_cell_angle_alpha 90.00
_cell_angle_beta 90.00
_cell_angle_gamma 90.00
_space_group_name_H-M_alt 'P 1'
_space_group_IT_number 1
loop_
_space_group_symop_operation_xyz
'x,y,z'
loop_
_atom_site_label
_atom_site_type_symbol
_atom_site_fract_x
_atom_site_fract_y
_atom_site_fract_z
Si1 Si 0.0000 0.0000 0.0000
Si2 Si 0.5000 0.0000 0.5000
Si3 Si 0.0000 0.5000 0.5000
Si4 Si 0.5000 0.5000 0.0000
Dy1 Dy 0.5000 0.5000 0.5000
```

[8]
Material: MgZn6Rh
Method: DFT, PBE-GGA
State: optimized geometry

Offset from the most stable computed form   0.00 eV per formula unit
DOS(E_F)   2.90 states/eV per cell
Energy of formation from the pure elements   -0.1607 eV per atom
Total magnetization   0.0 μB/f.u.

Structure (CIF):
```
data_MgZn6Rh
_cell_length_a 5.0613
_cell_length_b 5.0618
_cell_length_c 5.5537
_cell_angle_alpha 89.91
_cell_angle_beta 89.83
_cell_angle_gamma 60.00
_space_group_name_H-M_alt 'P 1'
_space_group_IT_number 1
loop_
_space_group_symop_operation_xyz
'x,y,z'
loop_
_atom_site_label
_atom_site_type_symbol
_atom_site_fract_x
_atom_site_fract_y
_atom_site_fract_z
Mg1 Mg 0.0000 0.0000 0.5000
Zn1 Zn 0.4988 0.4998 0.2346
Zn2 Zn 0.9986 0.5002 0.2346
Zn3 Zn 0.0014 0.4998 0.7654
Zn4 Zn 0.5012 0.5002 0.7654
Zn5 Zn 0.4991 0.0000 0.2346
Zn6 Zn 0.5009 0.0000 0.7654
Rh1 Rh 0.0000 0.0000 0.0000
```